(1)
Crystalline UHg2F4 at its relaxed geometry, computed with GGA-PBE.

POSCAR file:
```
UHg2F4
1.0
4.574 0.000 0.000
0.000 4.574 0.000
0.000 0.000 18.726
U Hg F
2 4 8
Cartesian
0.000 0.000 0.000 U
2.287 2.287 9.363 U
0.000 0.000 5.377 Hg
0.000 0.000 13.349 Hg
2.287 2.287 3.986 Hg
2.287 2.287 14.740 Hg
0.000 0.000 2.041 F
0.000 0.000 16.685 F
0.000 2.287 0.000 F
0.000 2.287 9.363 F
2.287 0.000 0.000 F
2.287 0.000 9.363 F
2.287 2.287 7.322 F
2.287 2.287 11.404 F
```

Results
The calculation puts the density of states at the Fermi level at 0.663 states/eV/atom. The calculation puts the volume at 391.8 Å³/cell. The energy relative to the elements, uncorrected is -2497 meV/atom. The total magnetization comes out at 2.00 μB per formula unit.


(2)
Crystalline PrEr4In at its relaxed geometry, computed with GGA-PBE.

POSCAR file:
```
PrEr4In
1.0
5.201 -3.030 0.000
5.201 3.030 0.000
-3.303 0.000 11.305
Pr Er In
2 8 2
Cartesian
2.723 2.468 8.479 Pr
4.375 -2.468 2.826 Pr
4.347 1.493 0.009 Er
2.569 0.400 2.801 Er
4.403 1.493 5.644 Er
0.917 -0.400 8.454 Er
6.181 0.400 2.851 Er
2.696 -1.493 5.661 Er
4.530 -0.400 8.503 Er
2.751 -1.493 11.296 Er
0.949 1.515 5.652 In
2.600 -1.515 0.000 In
```

Results
The calculation puts the density of states at the Fermi level at 1.319 states/eV/atom. The calculation puts the volume at 356.2 Å³/cell. As for the energy of formation from the pure elements: -0.104 eV per atom. The value obtained for the energy above the most stable polymorph in this dataset is 41.1 meV per atom. The total magnetization comes out at 0.00 μB per formula unit.